No. 1
Material: KBa2V2ClO7
Method: DFT, SCAN
State: single point on PBEsol structure

Geometry as POSCAR:
```
KBa2V2ClO7
1.0
-5.649 0.006 -1.020
2.161 -3.310 4.162
-1.767 11.235 9.855
V O Ba K Cl
4 14 4 2 2
direct
0.000 0.000 0.130 V
0.000 0.000 0.630 V
0.000 0.000 0.867 V
0.000 0.000 0.367 V
0.000 0.000 0.749 O
0.839 0.678 0.903 O
0.839 0.161 0.903 O
0.678 0.839 0.403 O
0.838 0.677 0.596 O
0.161 0.839 0.403 O
0.000 0.000 0.249 O
0.162 0.323 0.096 O
0.677 0.838 0.096 O
0.838 0.162 0.596 O
0.162 0.838 0.096 O
0.161 0.322 0.403 O
0.322 0.161 0.903 O
0.323 0.162 0.596 O
0.667 0.333 0.748 Ba
0.667 0.333 0.456 Ba
0.333 0.667 0.956 Ba
0.333 0.667 0.248 Ba
0.667 0.333 0.051 K
0.333 0.667 0.551 K
0.333 0.667 0.752 Cl
0.667 0.333 0.252 Cl
```

Fermi-level density of states   0.0 states/eV per cell
Energy   -16.3024 eV/atom
Volume   16.52 A^3/atom
M_tot   0.00 μB/cell
Uncorrected formation energy   -37.93 eV per formula unit

***

No. 2
Material: ZnCd2Ag
Method: DFT, SCAN
State: single point on PBEsol structure

Geometry as POSCAR:
```
ZnCd2Ag
1.0
4.128 0.000 0.000
0.000 4.128 0.000
-2.064 -2.064 4.144
Ag Zn Cd
1 1 2
direct
0.500 0.500 0.000 Ag
0.000 0.000 0.000 Zn
0.250 0.750 0.500 Cd
0.750 0.250 0.500 Cd
```

Fermi-level density of states   1.2 states/eV per cell
ΔH_f (0 K)   0.2 eV/f.u.
Energy   -26.3883 eV/atom
Volume   17.66 A^3/atom
M_tot   0.00 μB/cell